A | The following is a PBE-GGA calculation of Na3Cd2Pb3 after structural relaxation, from the Alexandria database.

Unit cell a=4.879 b=4.964 c=9.615 alpha=75.10 beta=75.42 gamma=89.96
Space group P-1 (No. 2)
One atom of each set of equivalent atoms:
Na 0.000 0.000 0.000
Na 0.130 0.630 0.740
Cd 0.249 0.248 0.504
Pb 0.363 0.863 0.274
Pb 0.500 0.500 0.000

Calculated density ... 7.0 g/cm³

B | The following is a PBE-GGA calculation of Na3Cd2Pb3 after structural relaxation, from the Alexandria database.

Unit cell a=3.924 b=12.263 c=19.564 alpha=90.00 beta=90.00 gamma=90.00
Space group Cmcm (No. 63)
One atom of each set of equivalent atoms:
Na 0.000 0.041 0.120
Na 0.000 0.351 0.250
Cd 0.000 0.239 0.625
Pb 0.000 0.365 0.021
Pb 0.000 0.379 0.750

Calculated density ... 6.5 g/cm³

What should be chosen as the least stable of them? Choose B.

A | The following is a PBE-GGA calculation of Na4Cd2Pb after structural relaxation, from the Alexandria database.

Unit cell a=8.366 b=6.435 c=8.563 alpha=90.00 beta=118.71 gamma=90.00
Space group P2_1/m (No. 11)
One atom of each set of equivalent atoms:
Na 0.029 0.250 0.054
Na 0.099 0.750 0.654
Na 0.446 0.004 0.174
Cd 0.195 0.250 0.776
Cd 0.325 0.250 0.468
Pb 0.235 0.750 0.374

Calculated density ... 4.3 g/cm³

B | The following is a PBE-GGA calculation of Na4Cd2Pb after structural relaxation, from the Alexandria database.

Unit cell a=11.222 b=4.215 c=8.246 alpha=90.00 beta=98.36 gamma=90.00
Space group C2/m (No. 12)
One atom of each set of equivalent atoms:
Na 0.056 0.000 0.202
Na 0.217 0.000 0.652
Cd 0.157 0.500 0.941
Pb 0.000 0.500 0.500

Calculated density ... 4.5 g/cm³

What should be chosen as the least stable of them? Choose A.

A | The following is a PBE-GGA calculation of RbNa2CdPb after structural relaxation, from the Alexandria database.

Unit cell a=6.092 b=6.092 c=5.900 alpha=90.00 beta=90.00 gamma=90.00
Space group P4/mmm (No. 123)
One atom of each set of equivalent atoms:
Rb 0.000 0.000 0.000
Na 0.000 0.500 0.500
Cd 0.500 0.500 0.000
Pb 0.500 0.500 0.500

Calculated density ... 3.4 g/cm³

B | The following is a PBE-GGA calculation of RbNa2CdPb after structural relaxation, from the Alexandria database.

Unit cell a=6.023 b=6.023 c=5.693 alpha=90.00 beta=90.00 gamma=90.00
Space group P4/mmm (No. 123)
One atom of each set of equivalent atoms:
Rb 0.000 0.000 0.000
Na 0.000 0.500 0.500
Cd 0.500 0.500 0.500
Pb 0.500 0.500 0.000

Calculated density ... 3.6 g/cm³

What should be chosen as the least stable of them? Choose B.

A | The following is a PBE-GGA calculation of NaCd3Pd2 after structural relaxation, from the Alexandria database.

Unit cell a=5.9684 b=5.9684 c=4.3366 alpha=90.00 beta=90.00 gamma=120.00
Space group P6/mmm (No. 191)
One atom of each set of equivalent atoms:
Na 0.0000 0.0000 0.0000
Cd 0.0000 0.5000 0.5000
Pd 0.3333 0.6667 0.0000

Calculated density ... 7.1 g/cm³

B | The following is a PBE-GGA calculation of NaCd3Pd2 after structural relaxation, from the Alexandria database.

Unit cell a=6.5196 b=6.5196 c=3.9330 alpha=90.00 beta=90.00 gamma=120.00
Space group P6/mmm (No. 191)
One atom of each set of equivalent atoms:
Na 0.0000 0.0000 0.0000
Cd 0.0000 0.5000 0.0000
Pd 0.3333 0.6667 0.5000

Calculated density ... 6.6 g/cm³

What should be chosen as the least stable of them? Choose B.

A | The following is a PBE-GGA calculation of Na2CdPd2 after structural relaxation, from the Alexandria database.

Unit cell a=3.787 b=3.787 c=14.054 alpha=90.00 beta=90.00 gamma=90.00
Space group I4/mmm (No. 139)
One atom of each set of equivalent atoms:
Na 0.000 0.500 0.250
Cd 0.000 0.000 0.000
Pd 0.000 0.000 0.406

Calculated density ... 6.1 g/cm³

B | The following is a PBE-GGA calculation of Na2CdPd2 after structural relaxation, from the Alexandria database.

Unit cell a=6.916 b=6.916 c=4.502 alpha=90.00 beta=90.00 gamma=90.00
Space group P4/mbm (No. 127)
One atom of each set of equivalent atoms:
Na 0.166 0.334 0.000
Cd 0.000 0.000 0.500
Pd 0.135 0.635 0.500

Calculated density ... 5.7 g/cm³

What should be chosen as the least stable of them? Choose A.

A | The following is a PBE-GGA calculation of Na2CdPd2 after structural relaxation, from the Alexandria database.

Unit cell a=7.971 b=7.971 c=3.018 alpha=90.00 beta=90.00 gamma=90.00
Space group P4/mbm (No. 127)
One atom of each set of equivalent atoms:
Na 0.119 0.381 0.000
Cd 0.000 0.000 0.000
Pd 0.184 0.684 0.500

Calculated density ... 6.4 g/cm³

B | The following is a PBE-GGA calculation of Na2CdPd2 after structural relaxation, from the Alexandria database.

Unit cell a=9.726 b=5.608 c=8.366 alpha=90.00 beta=104.18 gamma=90.00
Space group C2/c (No. 15)
One atom of each set of equivalent atoms:
Na 0.152 0.143 0.151
Cd 0.000 0.342 0.750
Pd 0.129 0.363 0.501

Calculated density ... 5.6 g/cm³

What should be chosen as the least stable of them? Choose A.

A | The following is a PBE-GGA calculation of Na3Cd2Pd after structural relaxation, from the Alexandria database.

Unit cell a=5.364 b=17.611 c=3.097 alpha=90.00 beta=90.00 gamma=90.00
Space group Cmmm (No. 65)
One atom of each set of equivalent atoms:
Na 0.000 0.000 0.000
Na 0.000 0.195 0.500
Cd 0.000 0.370 0.000
Pd 0.000 0.500 0.500

Calculated density ... 4.5 g/cm³

B | The following is a PBE-GGA calculation of Na3Cd2Pd after structural relaxation, from the Alexandria database.

Unit cell a=10.271 b=9.961 c=6.006 alpha=90.00 beta=90.00 gamma=90.00
Space group Cmcm (No. 63)
One atom of each set of equivalent atoms:
Na 0.000 0.144 0.250
Na 0.149 0.246 0.750
Cd 0.227 0.500 0.000
Pd 0.000 0.478 0.250

Calculated density ... 4.3 g/cm³

What should be chosen as the least stable of them? Choose B.

A | The following is a PBE-GGA calculation of NaCdPd after structural relaxation, from the Alexandria database.

Unit cell a=5.121 b=6.139 c=4.550 alpha=90.00 beta=90.00 gamma=90.00
Space group Pmm2 (No. 25)
One atom of each set of equivalent atoms:
Na 0.000 0.000 0.000
Na 0.000 0.500 0.045
Cd 0.500 0.000 0.519
Cd 0.500 0.500 0.523
Pd 0.500 0.250 0.021

Calculated density ... 5.6 g/cm³

B | The following is a PBE-GGA calculation of NaCdPd after structural relaxation, from the Alexandria database.

Unit cell a=3.477 b=3.477 c=10.423 alpha=90.00 beta=90.00 gamma=90.00
Space group I4mm (No. 107)
One atom of each set of equivalent atoms:
Na 0.000 0.000 0.000
Cd 0.000 0.000 0.702
Pd 0.000 0.000 0.323

Calculated density ... 6.4 g/cm³

What should be chosen as the least stable of them? Choose B.

A | The following is a PBE-GGA calculation of Na3CdPd after structural relaxation, from the Alexandria database.

Unit cell a=11.194 b=9.131 c=7.093 alpha=90.00 beta=128.56 gamma=90.00
Space group C2/m (No. 12)
One atom of each set of equivalent atoms:
Na 0.057 0.000 0.331
Na 0.211 0.305 0.751
Cd 0.063 0.500 0.264
Pd 0.239 0.500 0.119

Calculated density ... 3.4 g/cm³

B | The following is a PBE-GGA calculation of Na3CdPd after structural relaxation, from the Alexandria database.

Unit cell a=5.538 b=5.538 c=5.538 alpha=90.00 beta=90.00 gamma=90.00
Space group Pm-3m (No. 221)
One atom of each set of equivalent atoms:
Na 0.000 0.000 0.500
Cd 0.000 0.000 0.000
Pd 0.500 0.500 0.500

Calculated density ... 2.8 g/cm³

What should be chosen as the least stable of them? Choose B.

A | The following is a PBE-GGA calculation of NaCdPd3 after structural relaxation, from the Alexandria database.

Unit cell a=4.652 b=4.652 c=4.652 alpha=90.00 beta=90.00 gamma=90.00
Space group Pm-3m (No. 221)
One atom of each set of equivalent atoms:
Na 0.000 0.000 0.000
Cd 0.500 0.500 0.500
Pd 0.000 0.000 0.500

Calculated density ... 7.5 g/cm³

B | The following is a PBE-GGA calculation of NaCdPd3 after structural relaxation, from the Alexandria database.

Unit cell a=5.488 b=8.634 c=8.760 alpha=90.00 beta=90.00 gamma=90.00
Space group Fmm2 (No. 42)
One atom of each set of equivalent atoms:
Na 0.000 0.000 0.000
Cd 0.000 0.000 0.350
Pd 0.000 0.000 0.663
Pd 0.250 0.250 0.230

Calculated density ... 7.3 g/cm³

What should be chosen as the least stable of them? Choose A.

A | The following is a PBE-GGA calculation of Na2Cd2Pd after structural relaxation, from the Alexandria database.

Unit cell a=7.101 b=7.101 c=4.951 alpha=90.00 beta=90.00 gamma=90.00
Space group P4/mbm (No. 127)
One atom of each set of equivalent atoms:
Na 0.176 0.324 0.000
Cd 0.145 0.645 0.500
Pd 0.000 0.000 0.500

Calculated density ... 5.0 g/cm³

B | The following is a PBE-GGA calculation of Na2Cd2Pd after structural relaxation, from the Alexandria database.

Unit cell a=3.847 b=3.847 c=15.492 alpha=90.00 beta=90.00 gamma=90.00
Space group I4/mmm (No. 139)
One atom of each set of equivalent atoms:
Na 0.000 0.500 0.250
Cd 0.000 0.000 0.089
Pd 0.000 0.000 0.500

Calculated density ... 5.5 g/cm³

C | The following is a PBE-GGA calculation of Na2Cd2Pd after structural relaxation, from the Alexandria database.

Unit cell a=10.128 b=4.523 c=10.614 alpha=90.00 beta=105.91 gamma=90.00
Space group C2/m (No. 12)
One atom of each set of equivalent atoms:
Na 0.006 0.000 0.156
Na 0.133 0.500 0.690
Cd 0.131 0.000 0.458
Cd 0.176 0.500 0.052
Pd 0.164 0.500 0.309

Calculated density ... 5.4 g/cm³

What should be chosen as the least stable of them? Choose B.

A | The following is a PBE-GGA calculation of Na2Cd2Pd after structural relaxation, from the Alexandria database.

Unit cell a=8.315 b=4.858 c=5.950 alpha=90.00 beta=116.66 gamma=90.00
Space group C2/m (No. 12)
One atom of each set of equivalent atoms:
Na 0.192 0.000 0.076
Cd 0.119 0.500 0.357
Pd 0.000 0.000 0.500

Calculated density ... 5.8 g/cm³

B | The following is a PBE-GGA calculation of Na2Cd2Pd after structural relaxation, from the Alexandria database.

Unit cell a=7.210 b=7.210 c=4.424 alpha=90.00 beta=90.00 gamma=90.00
Space group P4/mbm (No. 127)
One atom of each set of equivalent atoms:
Na 0.140 0.360 0.000
Cd 0.171 0.671 0.500
Pd 0.000 0.000 0.000

Calculated density ... 5.4 g/cm³

What should be chosen as the least stable of them? Choose B.